The following is a DFT calculation (PBE) of an optimized crystal structure of CdCu2Te2F2.

Summary:
Final energy ... -3.194 eV/atom
Volume ... 18.2 A^3/atom
Space group ... P-4m2 (115)

POSCAR file:
```
CdCu2Te2F2
1.0
-1.5798 -3.0945 -1.0632
2.9413 -1.8604 1.0443
-3.8170 -1.0825 8.8225
Cd F Te Cu
1 2 2 2
Cartesian
-1.9085 -0.5413 4.4112
0.0000 0.0000 0.0000
0.6807 -2.4775 -0.0095
0.4448 -1.2211 2.8932
-3.5811 -2.3389 5.9198
-1.8569 -1.8739 8.2132
-1.2794 -1.6861 0.5997
```